Entry 1:
An optimized crystal structure of LiEuZnRh. Source: the Alexandria database, functional GGA-PBE.

```
LiEuZnRh
1.0
6.669 0.000 0.000
0.000 6.669 0.000
0.000 0.000 6.669
Li Eu Zn Rh
4 4 4 4
Cartesian
0.000 0.000 0.000 Li
0.000 3.334 3.334 Li
3.334 0.000 3.334 Li
3.334 3.334 0.000 Li
1.667 1.667 1.667 Eu
1.667 5.002 5.002 Eu
5.002 1.667 5.002 Eu
5.002 5.002 1.667 Eu
1.667 1.667 5.002 Zn
1.667 5.002 1.667 Zn
5.002 1.667 1.667 Zn
5.002 5.002 5.002 Zn
0.000 0.000 3.334 Rh
0.000 3.334 0.000 Rh
3.334 0.000 0.000 Rh
3.334 3.334 3.334 Rh
```

Values from the calculation:
The value obtained for the calculated density is 7.3 g/cm³. The calculation puts the magnetization at 7.1 μB per formula unit. Its calculated total energy is -5.45 eV/atom. The space-group type is F-43m, No. 216.



Entry 2:
An optimized crystal structure of LiEu2Ru. Source: the Alexandria database, functional GGA-PBE.

```
LiEu2Ru
1.0
3.485 0.000 0.000
0.000 3.485 0.000
0.000 0.000 8.659
Li Eu Ru
1 2 1
Cartesian
0.000 0.000 0.000 Li
1.743 1.743 2.606 Eu
1.743 1.743 6.054 Eu
0.000 0.000 4.330 Ru
```

Values from the calculation:
The value obtained for the calculated density is 6.5 g/cm³. The calculation puts the magnetization at 13.9 μB per formula unit. Its calculated total energy is -7.85 eV/atom. The space-group type is P4/mmm, No. 123.



Entry 3:
An optimized crystal structure of LiEuYRu. Source: the Alexandria database, functional GGA-PBE.

```
LiEuYRu
1.0
7.068 0.000 0.000
0.000 7.068 0.000
0.000 0.000 7.068
Li Eu Y Ru
4 4 4 4
Cartesian
0.000 0.000 0.000 Li
0.000 3.534 3.534 Li
3.534 0.000 3.534 Li
3.534 3.534 0.000 Li
1.767 1.767 1.767 Eu
1.767 5.301 5.301 Eu
5.301 1.767 5.301 Eu
5.301 5.301 1.767 Eu
1.767 1.767 5.301 Y
1.767 5.301 1.767 Y
5.301 1.767 1.767 Y
5.301 5.301 5.301 Y
0.000 0.000 3.534 Ru
0.000 3.534 0.000 Ru
3.534 0.000 0.000 Ru
3.534 3.534 3.534 Ru
```

Values from the calculation:
The value obtained for the calculated density is 6.6 g/cm³. The calculation puts the magnetization at 6.9 μB per formula unit. Its calculated total energy is -7.05 eV/atom. The space-group type is F-43m, No. 216.